No. 1
A relaxed NaGe3P crystal. Source: Alexandria, functional GGA-PBE.

* ρ: 3.74 g/cm3
* formation energy: 0.440 eV/atom
* electronic total energy: -3.68 eV per atom

a b c (Å): 4.9432 4.9432 4.9432
angles (deg): 90.00 90.00 90.00
Space group Pm-3m (No. 221)
Asymmetric unit:
Na 0.0000 0.0000 0.0000 [1 per cell]
Ge 0.0000 0.5000 0.5000 [3 per cell]
P 0.5000 0.5000 0.5000 [1 per cell]

***

No. 2
A relaxed Be2CuAg2 crystal. Source: Alexandria, functional GGA-PBE.

* ρ: 7.36 g/cm3
* formation energy: 0.277 eV/atom
* electronic total energy: -3.17 eV per atom

a b c (Å): 6.9306 6.9306 2.7925
angles (deg): 90.00 90.00 90.00
Space group P4/mbm (No. 127)
Asymmetric unit:
Be 0.1525 0.3475 0.0000 [4 per cell]
Cu 0.0000 0.0000 0.5000 [2 per cell]
Ag 0.1461 0.6461 0.5000 [4 per cell]

***

No. 3
A relaxed AcRhF crystal. Source: Alexandria, functional GGA-PBE.

* ρ: 9.48 g/cm3
* electronic total energy: -6.36 eV per atom

a b c (Å): 16.0433 3.9031 3.9031
angles (deg): 90.00 90.00 90.00
Space group Pnma (No. 62)
Asymmetric unit:
Ac 0.1123 0.2500 0.2497 [4 per cell]
Rh 0.2150 0.7500 0.7485 [4 per cell]
F 0.0000 0.2500 0.7500 [4 per cell]

***

Which value of electronic total energy does entry 3 give?
-6.36 eV per atom

***

What is the formula in the second record?
Be2CuAg2